TlRh2Au: optimized geometry, PBE-GGA.

Summary:
mass density: 14.7 g/cm3
energy of formation from the pure elements: 17 kJ per mole of atoms

Unit cell a=3.3387 b=3.3387 c=6.1387 alpha=90.00 beta=90.00 gamma=90.00
Closest atoms and distances in Å follow each position.
Space group P4/mmm (No. 123)
Unique sites:
Tl 0.0000 0.0000 0.0000  8 Rh 2.84, 2 Au 3.07
Rh 0.5000 0.5000 0.2561  4 Au 2.80, 4 Tl 2.84, 1 Rh 2.99
Au 0.0000 0.0000 0.5000  8 Rh 2.80, 2 Tl 3.07

=====

BaGdBi2: optimized geometry, PBE-GGA.

Summary:
mass density: 8.5 g/cm3
energy of formation from the pure elements: -71 kJ per mole of atoms

Unit cell a=3.9789 b=3.9789 c=8.7844 alpha=90.00 beta=90.00 gamma=90.00
Closest atoms and distances in Å follow each position.
Space group P4/mmm (No. 123)
Unique sites:
Ba 0.0000 0.0000 0.0000  8 Bi 3.74, 4 Ba 3.98
Gd 0.0000 0.0000 0.5000  8 Bi 3.41
Bi 0.5000 0.5000 0.2802  4 Gd 3.41, 4 Ba 3.74

=====

Sm4DySc2: optimized geometry, PBE-GGA.

Summary:
mass density: 6.4 g/cm3
energy of formation from the pure elements: 16 kJ per mole of atoms

Unit cell a=15.8530 b=15.8608 c=3.5154 alpha=90.00 beta=90.00 gamma=90.00
Closest atoms and distances in Å follow each position.
Space group Cmme (No. 67)
Unique sites:
Sm 0.1422 0.1079 0.9996  4 Sc 3.33, 4 Sm 3.42-3.52, 2 Dy 3.64
Dy 0.0000 0.2500 0.4993  2 Dy 3.52, 8 Sm 3.64
Sc 0.0000 0.0000 0.5000  8 Sm 3.33, 2 Sc 3.52
Sc 0.2500 0.2500 0.5000  8 Sm 3.33, 2 Sc 3.52

=====

LaYAg2: optimized geometry, PBE-GGA.

Summary:
mass density: 6.8 g/cm3
energy of formation from the pure elements: -25 kJ per mole of atoms

Unit cell a=3.8686 b=4.9184 c=5.9443 alpha=90.00 beta=107.79 gamma=90.00
Closest atoms and distances in Å follow each position.
Space group Pm (No. 6)
Unique sites:
La 0.0000 0.0000 0.0000  7 Ag 3.13-3.23
Y 0.7256 0.5000 0.4329  7 Ag 3.11-3.21
Ag 0.2855 0.0000 0.5523  2 Ag 3.03, 3 La 3.13-3.20, 4 Y 3.19-3.21
Ag 0.4340 0.5000 0.8659  2 Ag 3.03, 3 Y 3.11-3.21, 4 La 3.21-3.23

=====

Y2GaTc3: optimized geometry, PBE-GGA.

Summary:
mass density: 8.1 g/cm3
energy of formation from the pure elements: -31 kJ per mole of atoms

Unit cell a=5.3373 b=5.3373 c=13.5657 alpha=90.00 beta=90.00 gamma=120.00
Closest atoms and distances in Å follow each position.
Space group R-3m (No. 166, hexagonal axes)
Unique sites:
Y 0.0000 0.0000 0.1217  9 Tc 3.14-3.26, 3 Ga 3.14, 4 Y 3.30-3.31
Ga 0.0000 0.0000 0.5000  6 Tc 2.74
Tc 0.0000 0.5000 0.0000  4 Tc 2.67, 2 Ga 2.74

=====

SrLa2Ti: optimized geometry, PBE-GGA.

Summary:
mass density: 4.8 g/cm3
energy of formation from the pure elements: 57 kJ per mole of atoms

Unit cell a=9.0572 b=9.0572 c=6.9384 alpha=90.00 beta=90.00 gamma=90.00
Closest atoms and distances in Å follow each position.
Space group I-42d (No. 122)
Unique sites:
Sr 0.0000 0.0000 0.0000  2 Ti 3.47, 4 La 3.63
La 0.2022 0.2500 0.6250  2 Ti 3.04
Ti 0.0000 0.0000 0.5000  4 La 3.04

=====

LiNdBr4: optimized geometry, PBE-GGA.

Summary:
mass density: 3.7 g/cm3
formation energy from raw total energies: -167 kJ per mole of atoms

Unit cell a=7.0189 b=4.2567 c=7.1386 alpha=90.00 beta=95.32 gamma=90.00
Closest atoms and distances in Å follow each position.
Space group P2/m (No. 10)
Unique sites:
Li 0.0000 0.0000 0.0000  6 Br 2.82-2.92
Nd 0.0000 0.5000 0.5000  6 Br 2.86-2.94
Br 0.2108 0.5000 0.1759  2 Li 2.82, 1 Nd 2.86
Br 0.2363 0.0000 0.6850  1 Li 2.92, 2 Nd 2.94

=====

K3Nd3InO8: optimized geometry, PBE-GGA.

Summary:
mass density: 4.7 g/cm3
formation energy from raw total energies: -219 kJ per mole of atoms

Unit cell a=7.1653 b=7.1653 c=18.9714 alpha=90.00 beta=90.00 gamma=120.00
Closest atoms and distances in Å follow each position.
Space group R-3m (No. 166, hexagonal axes)
Unique sites:
K 0.0000 0.5000 0.0000  6 O 2.85-2.86
Nd 0.0000 0.5000 0.5000  6 O 2.39-2.42
In 0.0000 0.0000 0.5000  6 O 2.26
O 0.0000 0.0000 0.2293  3 Nd 2.39
O 0.0198 0.5099 0.2269  1 In 2.26, 2 Nd 2.42